1.
Density functional theory data (meta-GGA SCAN) for a crystal of YNiAs2 relaxed with PBEsol.

Geometry as extended XYZ:
```
4
Lattice="3.271 0.000 0.000 0.000 3.271 0.000 0.000 0.000 6.434" Properties=species:S:1:pos:R:3 pbc="T T T"
Y 0.000 0.000 0.000
Ni 0.000 0.000 3.217
As 1.635 1.635 1.939
As 1.635 1.635 4.494
```

Calculated values
calculated formation energy = -1.208 eV/f.u.
size of the total moment = 0.001 μB/atom
calculated volume = 69 Å³/f.u.

2.
Density functional theory data (meta-GGA SCAN) for a crystal of ZnNiAs2 relaxed with PBEsol.

Geometry as extended XYZ:
```
4
Lattice="4.553 -1.383 0.000 4.553 1.383 0.000 -2.008 0.000 5.156" Properties=species:S:1:pos:R:3 pbc="T T T"
Zn 0.000 0.000 0.000
Ni 4.641 0.000 5.083
As 0.182 0.000 3.159
As 2.443 0.000 1.838
```

Calculated values
calculated formation energy = 0.005 eV/f.u.
size of the total moment = 0.000 μB/atom
calculated volume = 65 Å³/f.u.

3.
Density functional theory data (meta-GGA SCAN) for a crystal of ZnNiAs2 relaxed with PBEsol.

Geometry as extended XYZ:
```
4
Lattice="2.377 -3.926 0.000 2.377 3.926 0.000 0.000 0.000 3.688" Properties=species:S:1:pos:R:3 pbc="T T T"
Zn 0.000 0.000 0.000
Ni 2.377 0.000 0.000
As 2.377 1.395 1.844
As 2.377 -1.395 1.844
```

Calculated values
calculated formation energy = -0.096 eV/f.u.
size of the total moment = 0.000 μB/atom
calculated volume = 69 Å³/f.u.